Record 1
BaLiUSe3 | GGA-PBE | optimized geometry

Calculated values
The magnetization comes out at 2.943 μB per formula unit. The final energy comes out at -5.718 eV per atom. The energy relative to the elements, uncorrected comes out at -1.45 eV/atom. As for the space group: P2_1/m, No. 11.

```
BaLiUSe3
1.0
8.935 0.000 0.000
0.000 4.253 0.000
-2.487 0.000 9.018
Ba Li U Se
2 2 2 6
direct
0.194 0.250 0.241 Ba
0.806 0.750 0.759 Ba
0.085 0.250 0.591 Li
0.915 0.750 0.409 Li
0.331 0.750 0.846 U
0.669 0.250 0.154 U
0.112 0.250 0.867 Se
0.210 0.750 0.525 Se
0.449 0.750 0.168 Se
0.551 0.250 0.832 Se
0.790 0.250 0.475 Se
0.888 0.750 0.133 Se
```

Record 2
Ho2Sc6Tc | GGA-PBE | optimized geometry

Calculated values
The calculation puts the formation enthalpy at 0 K at -0.017 eV per atom. The magnetization comes out at 0.000 μB per formula unit. The final energy comes out at -6.407 eV per atom. As for the space group: Amm2, No. 38.

```
Ho2Sc6Tc
1.0
3.428 0.000 0.000
0.000 7.393 4.316
0.000 -7.393 4.316
Ho Sc Tc
2 6 1
direct
0.000 0.172 0.828 Ho
0.000 0.828 0.172 Ho
0.000 0.250 0.490 Sc
0.000 0.490 0.250 Sc
0.000 0.764 0.764 Sc
0.500 0.123 0.123 Sc
0.500 0.504 0.847 Sc
0.500 0.847 0.504 Sc
0.500 0.513 0.513 Tc
```

Record 3
Sb2TePtSe | GGA-PBE | optimized geometry

Calculated values
The magnetization comes out at 0.000 μB per formula unit. The final energy comes out at -3.738 eV per atom. The energy relative to the elements, uncorrected comes out at 0.44 eV/atom. As for the space group: P4/mmm, No. 123. The calculation puts the relative energy among the computed polymorphs at 0 meV per atom.

```
Sb2TePtSe
1.0
5.219 0.000 0.000
0.000 5.219 0.000
0.000 0.000 5.392
Sb Te Pt Se
2 1 1 1
direct
0.000 0.500 0.000 Sb
0.500 0.000 0.000 Sb
0.000 0.000 0.500 Te
0.000 0.000 0.000 Pt
0.500 0.500 0.500 Se
```

Record 4
TcHCl2 | GGA-PBE | optimized geometry

Calculated values
The magnetization comes out at 0.000 μB per formula unit. The final energy comes out at -3.666 eV per atom. As for the space group: Fm-3m, No. 225. The calculation puts the relative energy among the computed polymorphs at 311 meV per atom.

```
TcHCl2
1.0
0.000 2.977 2.977
2.977 0.000 2.977
2.977 2.977 0.000
Tc H Cl
1 1 2
direct
0.000 0.000 0.000 Tc
0.500 0.500 0.500 H
0.250 0.250 0.250 Cl
0.750 0.750 0.750 Cl
```

Record 5
GdMgAu | GGA-PBE | optimized geometry

Calculated values
The calculation puts the formation enthalpy at 0 K at -0.676 eV per atom. The magnetization comes out at 7.231 μB per formula unit. The final energy comes out at -6.994 eV per atom. As for the space group: P-62m, No. 189.

```
GdMgAu
1.0
7.753 0.000 0.000
-3.876 6.714 0.000
0.000 0.000 4.057
Gd Mg Au
3 3 3
direct
0.000 0.411 0.000 Gd
0.411 0.000 0.000 Gd
0.589 0.589 0.000 Gd
0.000 0.753 0.500 Mg
0.247 0.247 0.500 Mg
0.753 0.000 0.500 Mg
0.000 0.000 0.000 Au
0.333 0.667 0.500 Au
0.667 0.333 0.500 Au
```

Record 6
Ni2SnTeCl | GGA-PBE | optimized geometry

Calculated values
The magnetization comes out at 0.983 μB per formula unit. The final energy comes out at -3.659 eV per atom. The energy relative to the elements, uncorrected comes out at 0.45 eV/atom. As for the space group: P4/mmm, No. 123.

```
Ni2SnTeCl
1.0
4.342 0.000 0.000
0.000 4.342 0.000
0.000 0.000 5.846
Ni Sn Te Cl
2 1 1 1
direct
0.000 0.500 0.000 Ni
0.500 0.000 0.000 Ni
0.000 0.000 0.500 Sn
0.500 0.500 0.500 Te
0.000 0.000 0.000 Cl
```

Record 7
Li2ZnCl | GGA-PBE | optimized geometry

Calculated values
The magnetization comes out at 0.000 μB per formula unit. The final energy comes out at -2.456 eV per atom. The energy relative to the elements, uncorrected comes out at -0.72 eV/atom. As for the space group: Cmmm, No. 65. The calculation puts the relative energy among the computed polymorphs at 54 meV per atom.

```
Li2ZnCl
1.0
1.811 -2.626 0.000
1.811 2.626 0.000
0.000 0.000 7.713
Li Zn Cl
2 1 1
direct
0.000 0.000 0.208 Li
0.000 0.000 0.792 Li
0.500 0.500 0.500 Zn
0.500 0.500 0.000 Cl
```

Record 8
Pm3HoSe4 | GGA-PBE | optimized geometry

Calculated values
The magnetization comes out at 0.000 μB per formula unit. The final energy comes out at -5.900 eV per atom. The energy relative to the elements, uncorrected comes out at -1.80 eV/atom. As for the space group: Cmmm, No. 65. The calculation puts the relative energy among the computed polymorphs at 0 meV per atom.

```
Pm3HoSe4
1.0
4.216 -5.890 0.000
4.216 5.890 0.000
0.000 0.000 4.108
Pm Ho Se
3 1 4
direct
0.000 0.000 0.000 Pm
0.000 0.500 0.500 Pm
0.500 0.000 0.500 Pm
0.500 0.500 0.000 Ho
0.255 0.745 0.000 Se
0.259 0.259 0.500 Se
0.741 0.741 0.500 Se
0.745 0.255 0.000 Se
```